1.
{
  "formula": "TbCePb",
  "functional": "PBE",
  "state": "optimized geometry",
  "cell": [[3.5322, 0.0000, 0.0000], [0.0000, 6.3190, 0.0000], [0.0000, 0.0000, 16.8822]],
  "species": ["Tb", "Tb", "Tb", "Tb", "Pb", "Pb", "Pb", "Pb", "Ce", "Ce", "Ce", "Ce"],
  "frac_coords": [[0.7500, 0.7800, 0.0660], [0.7500, 0.7200, 0.5660], [0.2500, 0.2800, 0.4340], [0.2500, 0.2200, 0.9340], [0.7500, 0.2189, 0.5930], [0.2500, 0.7189, 0.9070], [0.7500, 0.2811, 0.0930], [0.2500, 0.7811, 0.4070], [0.2500, 0.0392, 0.2372], [0.7500, 0.9608, 0.7628], [0.2500, 0.4608, 0.7372], [0.7500, 0.5392, 0.2628]],
  "energy_ev_per_atom": -4.94,
  "e_form_ev_per_atom": -0.180,
  "total_magnetization_mub_per_cell": 5.51,
  "sg": "No. 62"
}


2.
{
  "formula": "LiPmAgBi",
  "functional": "PBE",
  "state": "optimized geometry",
  "cell": [[5.2087, 0.0000, 0.0000], [2.6044, 4.5109, 0.0000], [2.6044, 1.5036, 4.2529]],
  "species": ["Ag", "Pm", "Bi", "Li"],
  "frac_coords": [[0.2500, 0.2500, 0.2500], [0.0000, 0.0000, 0.0000], [0.7500, 0.7500, 0.7500], [0.5000, 0.5000, 0.5000]],
  "energy_ev_per_atom": -3.79,
  "e_form_ev_per_atom": -0.444,
  "total_magnetization_mub_per_cell": 0.00,
  "sg": "No. 216"
}


3.
{
  "formula": "GaReAuN2",
  "functional": "PBE",
  "state": "optimized geometry",
  "cell": [[-0.6248, 3.7574, 0.1491], [-0.5273, 0.1354, -5.6232], [-3.7434, -0.6358, 0.3357]],
  "species": ["N", "N", "Ga", "Au", "Re"],
  "frac_coords": [[0.0000, 0.0000, 0.5000], [0.5000, 0.0000, 0.0000], [0.0000, 0.5000, 0.0000], [0.5000, 0.5000, 0.5000], [0.0000, 0.0000, 0.0000]],
  "energy_ev_per_atom": -6.54,
  "total_magnetization_mub_per_cell": 0.00,
  "sg": "No. 123",
  "e_form_raw_ev_per_fu": 2.7
}


4.
{
  "formula": "Tb2NiGe4Ir3",
  "functional": "PBE",
  "state": "optimized geometry",
  "cell": [[4.1930, 0.0000, 0.0000], [0.0000, 4.1930, 0.0000], [0.0000, 0.0000, 10.1843]],
  "species": ["Ge", "Ge", "Ge", "Ge", "Ni", "Ir", "Ir", "Ir", "Tb", "Tb"],
  "frac_coords": [[0.5000, 0.5000, 0.0000], [0.5000, 0.0000, 0.6292], [0.0000, 0.5000, 0.3708], [0.0000, 0.0000, 0.0000], [0.5000, 0.5000, 0.5000], [0.5000, 0.0000, 0.8683], [0.0000, 0.5000, 0.1317], [0.0000, 0.0000, 0.5000], [0.0000, 0.5000, 0.7522], [0.5000, 0.0000, 0.2478]],
  "energy_ev_per_atom": -6.72,
  "e_form_ev_per_atom": -0.711,
  "total_magnetization_mub_per_cell": 0.00,
  "sg": "No. 115"
}


5.
{
  "formula": "CrCdCo2",
  "functional": "PBE",
  "state": "optimized geometry",
  "cell": [[4.4867, -0.0098, 0.0000], [1.1379, 4.3400, 0.0000], [-2.8123, -2.1651, 2.7448]],
  "species": ["Co", "Co", "Cr", "Cd"],
  "frac_coords": [[0.5000, 0.5000, 0.0000], [0.0000, 0.0000, 0.0000], [0.2500, 0.7500, 0.5000], [0.7500, 0.2500, 0.5000]],
  "energy_ev_per_atom": -5.77,
  "e_form_ev_per_atom": 0.420,
  "total_magnetization_mub_per_cell": 1.31,
  "sg": "No. 139"
}


6.
{
  "formula": "SrZn3Cd9",
  "functional": "PBE",
  "state": "optimized geometry",
  "cell": [[-4.6166, 3.4060, 0.1953], [-5.4916, -2.9963, 4.2205], [0.3055, 4.9197, 5.7824]],
  "species": ["Cd", "Cd", "Cd", "Cd", "Cd", "Cd", "Cd", "Cd", "Cd", "Sr", "Zn", "Zn", "Zn"],
  "frac_coords": [[0.4875, 0.7852, 0.2220], [0.6484, 0.3451, 0.3553], [0.7095, 0.7852, 0.7780], [0.9963, 0.6549, 0.3553], [0.5125, 0.2148, 0.7780], [0.3516, 0.6549, 0.6447], [0.0000, 0.5000, 0.0000], [0.0037, 0.3451, 0.6447], [0.2905, 0.2148, 0.2220], [0.0000, 0.0000, 0.0000], [0.5000, 0.5000, 0.0000], [0.0000, 0.0000, 0.5000], [0.5000, 0.0000, 0.5000]],
  "energy_ev_per_atom": -1.16,
  "e_form_ev_per_atom": -0.106,
  "total_magnetization_mub_per_cell": 0.00,
  "sg": "No. 12"
}


7.
{
  "formula": "CuRh",
  "functional": "PBE",
  "state": "optimized geometry",
  "cell": [[-4.3808, -0.3982, -0.1029], [0.4875, -3.9890, -5.3189], [0.4425, -6.0514, 4.5789]],
  "species": ["Rh", "Rh", "Rh", "Rh", "Rh", "Rh", "Rh", "Rh", "Cu", "Cu", "Cu", "Cu", "Cu", "Cu", "Cu", "Cu"],
  "frac_coords": [[0.5837, 0.6667, 0.4449], [0.4163, 0.1667, 0.0551], [0.7446, 0.7195, 0.0963], [0.9163, 0.3333, 0.9449], [0.2446, 0.7805, 0.9037], [0.7554, 0.2805, 0.5963], [0.0837, 0.8333, 0.5551], [0.2554, 0.2195, 0.4037], [0.7632, 0.3745, 0.2649], [0.7431, 0.0163, 0.3294], [0.2569, 0.5163, 0.1706], [0.2368, 0.8745, 0.2351], [0.7368, 0.6255, 0.7649], [0.2431, 0.4837, 0.6706], [0.2632, 0.1255, 0.7351], [0.7569, 0.9837, 0.8294]],
  "energy_ev_per_atom": -5.48,
  "e_form_ev_per_atom": 0.242,
  "total_magnetization_mub_per_cell": 2.83,
  "sg": "No. 19"
}


8.
{
  "formula": "Ca2ScBr",
  "functional": "PBE",
  "state": "optimized geometry",
  "cell": [[3.8438, 0.0000, 0.0000], [0.0000, 6.5113, 0.0000], [0.0000, 0.0000, 5.2420]],
  "species": ["Ca", "Ca", "Sc", "Br"],
  "frac_coords": [[0.5000, 0.5000, 0.0000], [0.0000, 0.0000, 0.0000], [0.5000, 0.0000, 0.5000], [0.0000, 0.5000, 0.5000]],
  "energy_ev_per_atom": -3.14,
  "total_magnetization_mub_per_cell": 0.00,
  "sg": "No. 47",
  "e_form_raw_ev_per_fu": -0.6
}


9.
{
  "formula": "DyEr3Hg2",
  "functional": "PBE",
  "state": "optimized geometry",
  "cell": [[-1.9307, -1.4503, -6.6040], [3.0348, -6.7599, 0.5973], [-6.7889, 1.5164, 5.3952]],
  "species": ["Er", "Er", "Er", "Er", "Er", "Er", "Hg", "Hg", "Hg", "Hg", "Dy", "Dy"],
  "frac_coords": [[0.7719, 0.5219, 0.5438], [0.7719, 0.0219, 0.5438], [0.2281, 0.4781, 0.4562], [0.5000, 0.7500, 0.0000], [0.2281, 0.9781, 0.4562], [0.5000, 0.2500, 0.0000], [0.8388, 0.1405, 0.2811], [0.5577, 0.3595, 0.7189], [0.1612, 0.8595, 0.7189], [0.4423, 0.6405, 0.2811], [0.0000, 0.0000, 0.0000], [0.0000, 0.5000, 0.0000]],
  "energy_ev_per_atom": -3.25,
  "e_form_ev_per_atom": -0.101,
  "total_magnetization_mub_per_cell": 0.00,
  "sg": "No. 72"
}


10.
{
  "formula": "KFe2Os",
  "functional": "PBE",
  "state": "optimized geometry",
  "cell": [[-2.2676, 1.0756, 0.5370], [-1.1997, -4.1151, 3.1765], [2.0299, 2.3664, 3.8322]],
  "species": ["Os", "Fe", "Fe", "K"],
  "frac_coords": [[0.0000, 0.5000, 0.5000], [0.0000, 0.0000, 0.0000], [0.5000, 0.5000, 0.0000], [0.5000, 0.0000, 0.5000]],
  "energy_ev_per_atom": -5.87,
  "e_form_ev_per_atom": 1.446,
  "total_magnetization_mub_per_cell": 6.09,
  "sg": "No. 47"
}


11.
{
  "formula": "InPHO2",
  "functional": "PBE",
  "state": "optimized geometry",
  "cell": [[-2.6115, -3.0060, -0.7804], [1.5982, -0.4264, -3.7052], [3.8962, -3.9388, 2.1339]],
  "species": ["O", "O", "P", "H", "In"],
  "frac_coords": [[0.5000, 0.0000, 0.0000], [0.0000, 0.5000, 0.0000], [0.0000, 0.0000, 0.5000], [0.5000, 0.5000, 0.5000], [0.0000, 0.0000, 0.0000]],
  "energy_ev_per_atom": -3.56,
  "total_magnetization_mub_per_cell": 2.77,
  "sg": "No. 123"
}


12.
{
  "formula": "Tb2PrBi",
  "functional": "PBE",
  "state": "optimized geometry",
  "cell": [[-3.9841, 0.2163, 0.8379], [0.1817, -3.6505, 1.8063], [1.5595, 3.3223, 6.5575]],
  "species": ["Pr", "Tb", "Tb", "Bi"],
  "frac_coords": [[0.5000, 0.5000, 0.0000], [0.0000, 0.0000, 0.7224], [0.0000, 0.0000, 0.2776], [0.5000, 0.5000, 0.5000]],
  "energy_ev_per_atom": -4.84,
  "e_form_ev_per_atom": -0.357,
  "total_magnetization_mub_per_cell": 0.00,
  "sg": "No. 123"
}